# 1
DFT (PBE) results for crystalline ZnCd4P at its relaxed geometry.

Output
DOS at the Fermi energy   3.53 states/eV/f.u.
SG   F-43m

Cell and atoms, written as extended XYZ:
```
6
Lattice="0.0000 4.0538 4.0538 4.0538 0.0000 4.0538 4.0538 4.0538 0.0000" Properties=species:S:1:pos:R:3 pbc="T T T"
Zn 0.0000 0.0000 0.0000
Cd 5.0660 3.0416 5.0660
Cd 5.0660 5.0660 3.0416
Cd 3.0416 5.0660 5.0660
Cd 3.0416 3.0416 3.0416
P 6.0807 6.0807 6.0807
```

***

# 2
DFT (PBE) results for crystalline Sc2Tl2As at its relaxed geometry.

Output
DOS at the Fermi energy   3.26 states/eV/f.u.
SG   P4/mbm

Cell and atoms, written as extended XYZ:
```
10
Lattice="7.1002 0.0000 0.0000 0.0000 7.1002 0.0000 0.0000 0.0000 4.8314" Properties=species:S:1:pos:R:3 pbc="T T T"
As 3.5501 3.5501 0.0000
As 0.0000 0.0000 0.0000
Sc 2.3728 5.9229 0.0000
Sc 1.1773 2.3728 0.0000
Sc 4.7274 1.1773 0.0000
Sc 5.9229 4.7274 0.0000
Tl 4.6330 6.0172 2.4157
Tl 6.0172 2.4672 2.4157
Tl 1.0829 4.6330 2.4157
Tl 2.4672 1.0829 2.4157
```

***

# 3
DFT (PBE) results for crystalline Ac4InPt2 at its relaxed geometry.

Output
DOS at the Fermi energy   4.51 states/eV/f.u.
SG   Fddd

Cell and atoms, written as extended XYZ:
```
14
Lattice="8.6524 -1.1965 -0.1719 -1.8172 8.5436 0.1717 -3.2904 -3.7918 7.1789" Properties=species:S:1:pos:R:3 pbc="T T T"
Pt -2.0677 0.2104 5.4270
Pt 2.2585 -0.3879 5.3412
Pt 3.9037 1.5081 1.7517
Pt 2.9950 5.7799 1.8375
In -0.8448 4.2129 3.6753
In 6.8349 7.3469 -0.0002
Ac 6.4529 -0.3404 2.1525
Ac 4.5571 1.4232 4.8544
Ac 2.2799 -0.9310 2.2165
Ac 5.5274 3.9473 1.2869
Ac 0.2481 2.0057 5.8918
Ac -0.0401 -2.1989 5.8279
Ac 1.3544 3.3567 1.3508
Ac 4.2690 -2.7814 4.7904
```

***

# 4
DFT (PBE) results for crystalline EuYLuSc at its relaxed geometry.

Output
DOS at the Fermi energy   7.82 states/eV/f.u.
SG   F-43m

Cell and atoms, written as extended XYZ:
```
4
Lattice="5.5913 0.0000 0.0000 2.7956 4.8422 0.0000 2.7956 1.6141 4.5653" Properties=species:S:1:pos:R:3 pbc="T T T"
Eu 2.7956 1.6141 1.1413
Sc 8.3869 4.8422 3.4239
Lu 0.0000 0.0000 0.0000
Y 5.5913 3.2281 2.2826
```

***

| no. | energy relative to the elements (eV per atom) |
| --- | --- |
| 1 | 0.4003 |
| 2 | -0.4739 |
| 3 | -0.7169 |
| 4 | 0.1840 |